Here is a relaxed structure of LaNdZnRh from Alexandria. Energies are from PBE.

## Properties
* DFT formation energy: -471 meV per atom
* mass density: 7.8 g/cm³
* calculated total energy: -5.051 eV per atom
* total magnetization: 0.0 μB per formula unit
* volume: 24.1 A^3/atom
* ΔE to the lowest computed polymorph: 5.3 kJ/mol of atoms

Lattice parameters (Å, degrees): 5.150 5.150 5.150 60.00 60.00 60.00
Element x y z (fractional)
Nd1 0.750 0.750 0.750
Zn1 0.000 0.000 0.000
La1 0.250 0.250 0.250
Rh1 0.500 0.500 0.500